A geometry-optimized Sr2Hg structure, computed with PBE.

DFT formation energy = -95 kJ/mol of formula units
space group = No. 63

a = 9.736 Å, b = 9.736 Å, c = 6.030 Å
α = 90.00°, β = 90.00°, γ = 155.59°
Atoms (fractional coordinates):
Sr1 0.291 0.709 0.750
Sr2 0.572 0.428 0.750
Sr3 0.428 0.572 0.250
Sr4 0.709 0.291 0.250
Hg1 0.072 0.928 0.250
Hg2 0.928 0.072 0.750

***

A geometry-optimized LiB4C4 structure, computed with PBE.

ΔE to the lowest computed polymorph = 147 meV per atom
DFT formation energy = 205 kJ/mol of formula units
space group = No. 5

a = 7.606 Å, b = 7.606 Å, c = 5.361 Å
α = 100.31°, β = 100.31°, γ = 35.81°
Atoms (fractional coordinates):
B1 0.534 0.221 0.939
Li1 0.979 0.021 0.502
C1 0.705 0.045 0.188
C2 0.705 0.045 0.687
B2 0.034 0.716 0.687
C3 0.203 0.545 0.937
B3 0.034 0.716 0.187
B4 0.529 0.216 0.436
C4 0.291 0.942 0.308
C5 0.808 0.459 0.067
C6 0.294 0.940 0.809
C7 0.810 0.456 0.566
B5 0.462 0.769 0.058
Li2 0.729 0.771 0.873
B6 0.982 0.285 0.818
C8 0.205 0.547 0.438
B7 0.981 0.288 0.317
B8 0.465 0.768 0.557

***

A geometry-optimized Ba2Zn3GaAu4 structure, computed with PBE.

DFT formation energy = -497 kJ/mol of formula units
space group = No. 115

a = 4.798 Å, b = 4.798 Å, c = 10.242 Å
α = 90.00°, β = 90.00°, γ = 90.00°
Atoms (fractional coordinates):
Ba1 0.000 0.500 0.755
Ga1 0.500 0.500 0.500
Au1 0.000 0.000 0.000
Zn1 0.000 0.500 0.121
Zn2 0.000 0.000 0.500
Au2 0.500 0.500 0.000
Ba2 0.500 0.000 0.245
Au3 0.500 0.000 0.619
Au4 0.000 0.500 0.381
Zn3 0.500 0.000 0.879

***

N(E_F): 6.426, 4.440, 5.068 (states/eV per cell)
Calculated volume: 39.4, 9.9, 23.6 (A^3/atom)